(1)
Material: Y2PbBr
Method: DFT, GGA-PBE
State: optimized geometry

Summary:
Volume   28.82 A^3/atom
D(E_F)   3.5 states/eV per cell
Formation energy without anion corrections   -0.62 eV per atom
Crystal system   orthorhombic
Total DFT energy (no corrections)   -5.1979 eV per atom
Energy above the most stable polymorph in this dataset   149 meV per atom
SG   Cmmm

Unit cell a=3.6215 b=3.6215 c=10.0325 alpha=90.00 beta=90.00 gamma=118.84
Last column: nearest neighbours and their distance in Å.
Positions (direct):
Y1 0.0000 0.0000 0.0100  2 Br 3.03, 2 Pb 3.19
Y2 0.0000 0.0000 0.4900  2 Br 3.03, 2 Pb 3.19
Br1 0.5000 0.5000 0.2500  4 Y 3.03
Pb1 0.5000 0.5000 0.7500  4 Y 3.19

***

(2)
Material: LaCr2Ru
Method: DFT, GGA-PBE
State: optimized geometry

Summary:
Volume   19.64 A^3/atom
D(E_F)   6.7 states/eV per cell
Crystal system   orthorhombic
Total DFT energy (no corrections)   -7.7460 eV per atom
Energy above the most stable polymorph in this dataset   304 meV per atom
ΔE_f   0.617 eV per atom
SG   Immm

Unit cell a=5.8125 b=5.8125 c=5.8125 alpha=148.19 beta=130.03 gamma=60.46
Last column: nearest neighbours and their distance in Å.
Positions (direct):
Cr1 0.0367 0.0367 0.0000  2 Ru 2.67
Cr2 0.4633 0.4633 0.0000  2 Ru 2.67
La1 0.7500 0.2500 0.5000  4 Ru 2.93, 2 La 3.19, 4 Cr 3.26
Ru1 0.2500 0.7500 0.5000  4 Cr 2.67, 4 La 2.93

***

(3)
Material: GdDyAgGe
Method: DFT, GGA-PBE
State: optimized geometry

Summary:
Volume   23.47 A^3/atom
D(E_F)   3.3 states/eV per cell
Crystal system   cubic
Total DFT energy (no corrections)   -7.0803 eV per atom
ΔE_f   -0.542 eV per atom
SG   F-43m

Unit cell a=5.1016 b=5.1016 c=5.1016 alpha=60.00 beta=60.00 gamma=60.00
Last column: nearest neighbours and their distance in Å.
Positions (direct):
Dy1 0.0000 0.0000 0.0000  4 Ge 3.12, 4 Ag 3.12
Gd1 0.5000 0.5000 0.5000  4 Ag 3.12, 4 Ge 3.12
Ge1 0.2500 0.2500 0.2500  4 Gd 3.12, 4 Dy 3.12
Ag1 0.7500 0.7500 0.7500  4 Gd 3.12, 4 Dy 3.12

***

(4)
Material: HfNbH2
Method: DFT, GGA-PBE
State: optimized geometry

Summary:
Volume   10.84 A^3/atom
D(E_F)   2.3 states/eV per cell
Crystal system   trigonal
Total DFT energy (no corrections)   -6.8772 eV per atom
Energy above the most stable polymorph in this dataset   18 meV per atom
SG   R-3m

Unit cell a=3.1809 b=3.1809 c=5.2796 alpha=72.47 beta=72.47 gamma=60.00
Last column: nearest neighbours and their distance in Å.
Positions (direct):
Hf1 0.0000 0.0000 0.0000  6 H 2.30
Nb1 0.5000 0.5000 0.5000  6 H 2.13
H1 0.7602 0.7602 0.7194  3 Nb 2.13, 3 Hf 2.30
H2 0.2398 0.2398 0.2806  3 Nb 2.13, 3 Hf 2.30

***

(5)
Material: Mn8C
Method: DFT, GGA-PBE
State: optimized geometry

Summary:
Volume   10.12 A^3/atom
D(E_F)   11.7 states/eV per cell
Crystal system   tetragonal
Total DFT energy (no corrections)   -8.8244 eV per atom
ΔE_f   0.351 eV per atom
SG   I4/mmm

Unit cell a=5.4441 b=5.4441 c=5.4441 alpha=95.62 beta=95.62 gamma=143.54
Last column: nearest neighbours and their distance in Å.
Positions (direct):
Mn1 0.6691 0.0000 0.6691  11 Mn 2.41-2.48, 1 C 2.42
Mn2 0.0000 0.6691 0.6691  11 Mn 2.41-2.48, 1 C 2.42
Mn3 0.3309 0.0000 0.3309  11 Mn 2.41-2.48, 1 C 2.42
Mn4 0.3392 0.6608 0.0000  10 Mn 2.35-2.51, 2 C 2.38
Mn5 0.6608 0.3392 0.0000  10 Mn 2.35-2.51, 2 C 2.38
Mn6 0.3392 0.3392 0.6785  10 Mn 2.35-2.51, 2 C 2.38
Mn7 0.6608 0.6608 0.3215  10 Mn 2.35-2.51, 2 C 2.38
Mn8 0.0000 0.3309 0.3309  11 Mn 2.41-2.48, 1 C 2.42
C1 0.0000 0.0000 0.0000  12 Mn 2.38-2.42

***

(6)
Material: ThMnW
Method: DFT, GGA-PBE
State: optimized geometry

Summary:
Volume   20.28 A^3/atom
D(E_F)   4.1 states/eV per cell
Crystal system   trigonal
Total DFT energy (no corrections)   -8.9045 eV per atom
ΔE_f   0.943 eV per atom
SG   R3m

Unit cell a=3.0871 b=3.0871 c=7.5839 alpha=78.26 beta=78.26 gamma=60.00
Last column: nearest neighbours and their distance in Å.
Positions (direct):
Th1 0.1381 0.1381 0.5857  1 Mn 2.74, 1 W 2.90
W1 0.0070 0.0070 0.9789  3 Mn 2.48
Mn1 0.2622 0.2622 0.2135  3 W 2.48, 1 Th 2.74

***

(7)
Material: Mg2AgRu
Method: DFT, GGA-PBE
State: optimized geometry

Summary:
Volume   17.07 A^3/atom
D(E_F)   1.9 states/eV per cell
Crystal system   monoclinic
Total DFT energy (no corrections)   -3.8094 eV per atom
ΔE_f   0.020 eV per atom
SG   Cm

Unit cell a=5.2723 b=5.2723 c=4.7687 alpha=72.09 beta=72.09 gamma=32.94
Last column: nearest neighbours and their distance in Å.
Positions (direct):
Mg1 0.9907 0.9907 0.0631  4 Ru 2.77-2.86, 3 Ag 2.79-2.82, 3 Mg 2.99-3.09
Mg2 0.7637 0.7637 0.6784  3 Ru 2.76-2.84, 4 Ag 2.82-2.83, 2 Mg 2.99
Ru1 0.5043 0.5043 0.5656  7 Mg 2.76-2.86, 2 Ag 2.90, 2 Ru 2.99
Ag1 0.2413 0.2413 0.1929  7 Mg 2.79-2.83, 2 Ru 2.90, 2 Ag 2.99

***

(8)
Material: AcTbPmY
Method: DFT, GGA-PBE
State: optimized geometry

Summary:
Volume   35.73 A^3/atom
D(E_F)   6.6 states/eV per cell
Crystal system   tetragonal
Total DFT energy (no corrections)   -4.9404 eV per atom
Energy above the most stable polymorph in this dataset   0 meV per atom
ΔE_f   0.048 eV per atom
SG   P4mm

Unit cell a=3.7174 b=3.7174 c=10.3416 alpha=90.00 beta=90.00 gamma=90.00
Last column: nearest neighbours and their distance in Å.
Positions (direct):
Tb1 0.1462 0.8538 0.2199  4 Y 3.57, 4 Pm 3.60, 4 Tb 3.72
Pm1 0.6462 0.3538 0.4582  4 Tb 3.60, 4 Pm 3.72, 4 Ac 3.80
Ac1 0.1462 0.8538 0.7242  4 Ac 3.72, 4 Y 3.78, 4 Pm 3.80
Y1 0.6462 0.3538 0.9864  4 Tb 3.57, 4 Y 3.72, 4 Ac 3.78

***

(9)
Material: CuBi2TeO6
Method: DFT, GGA-PBE
State: optimized geometry

Summary:
Volume   14.43 A^3/atom
D(E_F)   2.5 states/eV per cell
Formation energy without anion corrections   -0.91 eV per atom
Crystal system   trigonal
Total DFT energy (no corrections)   -5.3888 eV per atom
SG   R3

Unit cell a=5.8861 b=5.8857 c=5.8889 alpha=60.02 beta=60.01 gamma=59.99
Last column: nearest neighbours and their distance in Å.
Positions (direct):
O1 0.6091 0.1578 0.2622  1 Te 2.18, 1 Cu 2.21, 1 Bi 2.32
O2 0.6515 0.1179 0.7628  1 Te 2.11, 1 Cu 2.18, 1 Bi 2.36
O3 0.1180 0.4678 0.7627  1 Te 2.11, 1 Cu 2.18, 1 Bi 2.36
O4 0.9709 0.6092 0.2621  1 Te 2.18, 1 Cu 2.20, 1 Bi 2.32
O5 0.1577 0.9709 0.2621  1 Te 2.18, 1 Cu 2.21, 1 Bi 2.32
O6 0.4678 0.6514 0.7628  1 Te 2.11, 1 Cu 2.18, 1 Bi 2.36
Bi1 0.0265 0.0264 0.9206  6 O 2.32-2.53
Bi2 0.5330 0.5330 0.4009  6 O 2.36-2.49
Te1 0.3165 0.3165 0.0505  6 O 2.11-2.18
Cu1 0.8105 0.8106 0.5683  6 O 2.18-2.21

***

(10)
Material: Ce2InP3Rh4
Method: DFT, GGA-PBE
State: optimized geometry

Summary:
Volume   17.50 A^3/atom
D(E_F)   7.1 states/eV per cell
Crystal system   tetragonal
Total DFT energy (no corrections)   -6.9726 eV per atom
ΔE_f   -0.948 eV per atom
SG   P-4m2

Unit cell a=4.0053 b=4.0053 c=10.9098 alpha=90.00 beta=90.00 gamma=90.00
Last column: nearest neighbours and their distance in Å.
Positions (direct):
Rh1 0.5000 0.0000 0.6645  1 P 2.29
Rh2 0.0000 0.0000 0.0000  4 P 2.42
Rh3 0.0000 0.5000 0.3355  1 P 2.29
Rh4 0.5000 0.5000 0.0000  4 P 2.42
P1 0.5000 0.0000 0.8748  5 Rh 2.29-2.42
P2 0.0000 0.5000 0.1252  5 Rh 2.29-2.42
P3 0.0000 0.0000 0.5000  4 Rh 2.69, 4 In 2.83
Ce1 0.5000 0.0000 0.2363  8 Rh 3.03-3.26, 4 P 3.08
Ce2 0.0000 0.5000 0.7637  8 Rh 3.03-3.26, 4 P 3.08
In1 0.5000 0.5000 0.5000  4 Rh 2.69, 4 P 2.83

***

(11)
Material: CaB2POs
Method: DFT, GGA-PBE
State: optimized geometry

Summary:
Volume   19.35 A^3/atom
D(E_F)   4.2 states/eV per cell
Crystal system   tetragonal
Total DFT energy (no corrections)   -5.5695 eV per atom
ΔE_f   0.830 eV per atom
SG   P4/mmm

Unit cell a=4.0710 b=5.8368 c=4.0710 alpha=90.00 beta=90.00 gamma=90.00
Last column: nearest neighbours and their distance in Å.
Positions (direct):
Os1 0.0000 0.0000 0.0000  4 B 2.04
Ca1 0.0000 0.5000 0.0000  4 P 2.88, 2 Os 2.92
B1 0.5000 0.0000 0.0000  2 Os 2.04
B2 0.0000 0.0000 0.5000  2 Os 2.04
P1 0.5000 0.5000 0.5000  4 Ca 2.88

***

(12)
Material: ZnCo3Ni12
Method: DFT, GGA-PBE
State: optimized geometry

Summary:
Volume   10.98 A^3/atom
D(E_F)   20.6 states/eV per cell
Crystal system   tetragonal
Total DFT energy (no corrections)   -5.7726 eV per atom
ΔE_f   -0.025 eV per atom
SG   P4/mmm

Unit cell a=3.5286 b=3.5286 c=14.1033 alpha=90.00 beta=90.00 gamma=90.00
Last column: nearest neighbours and their distance in Å.
Positions (direct):
Ni1 0.5000 0.5000 0.5000  8 Ni 2.48, 4 Co 2.50
Ni2 0.5000 0.0000 0.1295  2 Co 2.46, 8 Ni 2.48-2.54, 2 Zn 2.54
Ni3 0.5000 0.0000 0.8705  2 Co 2.46, 8 Ni 2.48-2.54, 2 Zn 2.54
Ni4 0.0000 0.5000 0.3763  8 Ni 2.48-2.50, 4 Co 2.48-2.50
Ni5 0.5000 0.5000 0.0000  4 Zn 2.50, 8 Ni 2.54
Ni6 0.5000 0.0000 0.6237  8 Ni 2.48-2.50, 4 Co 2.48-2.50
Ni7 0.0000 0.5000 0.8705  2 Co 2.46, 8 Ni 2.48-2.54, 2 Zn 2.54
Ni8 0.0000 0.5000 0.6237  8 Ni 2.48-2.50, 4 Co 2.48-2.50
Ni9 0.5000 0.5000 0.2527  8 Ni 2.48, 4 Co 2.50
Ni10 0.5000 0.5000 0.7473  8 Ni 2.48, 4 Co 2.50
Ni11 0.0000 0.5000 0.1295  2 Co 2.46, 8 Ni 2.48-2.54, 2 Zn 2.54
Ni12 0.5000 0.0000 0.3763  8 Ni 2.48-2.50, 4 Co 2.48-2.50
Co1 0.0000 0.0000 0.2507  12 Ni 2.46-2.50
Co2 0.0000 0.0000 0.7493  12 Ni 2.46-2.50
Co3 0.0000 0.0000 0.5000  12 Ni 2.48-2.50
Zn1 0.0000 0.0000 0.0000  12 Ni 2.50-2.54

***

Size of the total moment across the listed records, respectively: 0.003 6.922 7.837 0.000 0.883 1.736 0.797 0.000 0.000 0.013 0.841 12.732 μB per formula unit.